1.
DFT (PBE) results for a relaxed structure of BeCr2Os.

crystal system = trigonal
final energy = -8.3254 eV/atom
space group = R3m, No. 160

Cell lengths 8.270, 8.270, 8.270 Å; angles 18.22, 18.22, 18.22 degrees
Positions (direct):
Be (0.000, 0.000, 0.000)
Cr (0.254, 0.254, 0.254)
Cr (0.500, 0.500, 0.500)
Os (0.748, 0.748, 0.748)


2.
DFT (PBE) results for a relaxed structure of TbHo8Er5.

crystal system = tetragonal
final energy = -4.3192 eV/atom
space group = I-4, No. 82

Cell lengths 8.346, 8.346, 8.346 Å; angles 111.13, 111.13, 106.20 degrees
Positions (direct):
Tb (0.000, 0.000, 0.000)
Ho (0.092, 0.675, 0.762)
Ho (0.276, 0.523, 0.106)
Ho (0.325, 0.087, 0.416)
Ho (0.417, 0.171, 0.894)
Ho (0.477, 0.583, 0.754)
Ho (0.670, 0.908, 0.584)
Ho (0.829, 0.724, 0.246)
Ho (0.913, 0.330, 0.238)
Er (0.034, 0.213, 0.598)
Er (0.250, 0.750, 0.500)
Er (0.563, 0.966, 0.179)
Er (0.615, 0.437, 0.402)
Er (0.787, 0.385, 0.821)


3.
DFT (PBE) results for a relaxed structure of SrLaB.

crystal system = triclinic
energy relative to the lowest polymorph listed for this composition = 0.011 eV/atom
space group = P1, No. 1

Cell lengths 3.358, 7.291, 7.633 Å; angles 80.72, 77.34, 89.99 degrees
Positions (direct):
Sr (0.000, 0.000, 0.000)
Sr (0.430, 0.491, 0.142)
La (0.194, 0.549, 0.615)
La (0.756, 0.045, 0.490)
B (0.340, 0.809, 0.321)
B (0.832, 0.740, 0.339)


4.
DFT (PBE) results for a relaxed structure of MgSn2Pd2.

crystal system = orthorhombic
final energy = -4.5668 eV/atom
space group = Pmmn, No. 59

Cell lengths 4.544, 4.604, 9.660 Å; angles 90.00, 90.00, 90.00 degrees
Positions (direct):
Mg (0.250, 0.250, 0.171)
Mg (0.750, 0.750, 0.829)
Sn (0.250, 0.250, 0.495)
Sn (0.250, 0.250, 0.831)
Sn (0.750, 0.750, 0.169)
Sn (0.750, 0.750, 0.505)
Pd (0.250, 0.750, 0.004)
Pd (0.250, 0.750, 0.332)
Pd (0.750, 0.250, 0.668)
Pd (0.750, 0.250, 0.996)


5.
DFT (PBE) results for a relaxed structure of BeReRh.

crystal system = orthorhombic
energy relative to the lowest polymorph listed for this composition = 0.154 eV/atom
space group = Pnma, No. 62

Cell lengths 4.949, 4.205, 7.298 Å; angles 90.00, 90.00, 90.00 degrees
Positions (direct):
Be (0.249, 0.250, 0.084)
Be (0.251, 0.750, 0.584)
Be (0.749, 0.250, 0.416)
Be (0.751, 0.750, 0.916)
Re (0.001, 0.250, 0.750)
Re (0.499, 0.750, 0.250)
Re (0.501, 0.250, 0.750)
Re (0.999, 0.750, 0.250)
Rh (0.248, 0.250, 0.417)
Rh (0.252, 0.750, 0.917)
Rh (0.748, 0.250, 0.083)
Rh (0.752, 0.750, 0.583)


6.
DFT (PBE) results for a relaxed structure of Cs4H2F.

crystal system = tetragonal
final energy = -2.4204 eV/atom
space group = I4/mmm, No. 139

Cell lengths 8.995, 8.995, 8.995 Å; angles 141.79, 141.79, 55.14 degrees
Positions (direct):
Cs (0.000, 0.500, 0.500)
Cs (0.199, 0.199, 0.000)
Cs (0.500, 0.000, 0.500)
Cs (0.801, 0.801, 0.000)
H (0.389, 0.389, 0.000)
H (0.611, 0.611, 0.000)
F (0.000, 0.000, 0.000)


7.
DFT (PBE) results for a relaxed structure of NaPdSeN2.

crystal system = tetragonal
raw formation energy = 2.064 eV per atom
energy relative to the lowest polymorph listed for this composition = 1.066 eV/atom
space group = P4/mmm, No. 123

Cell lengths 4.224, 4.224, 5.659 Å; angles 90.00, 90.00, 90.00 degrees
Positions (direct):
Na (0.000, 0.000, 0.000)
Pd (0.500, 0.500, 0.500)
Se (0.000, 0.000, 0.500)
N (0.000, 0.500, 0.000)
N (0.500, 0.000, 0.000)


8.
DFT (PBE) results for a relaxed structure of Ti4PH2.

crystal system = tetragonal
energy relative to the lowest polymorph listed for this composition = 0.512 eV/atom
space group = I4/mmm, No. 139

Cell lengths 5.761, 5.761, 5.761 Å; angles 134.19, 134.19, 66.79 degrees
Positions (direct):
Ti (0.000, 0.500, 0.500)
Ti (0.248, 0.248, 0.000)
Ti (0.500, 0.000, 0.500)
Ti (0.752, 0.752, 0.000)
P (0.000, 0.000, 0.000)
H (0.432, 0.432, 0.000)
H (0.568, 0.568, 0.000)


9.
DFT (PBE) results for a relaxed structure of GeBiMo2.

crystal system = tetragonal
energy relative to the lowest polymorph listed for this composition = 0.145 eV/atom
space group = I-42d, No. 122

Cell lengths 9.854, 9.854, 9.854 Å; angles 155.22, 155.22, 35.32 degrees
Positions (direct):
Ge (0.000, 0.000, 0.000)
Ge (0.750, 0.250, 0.500)
Bi (0.250, 0.750, 0.500)
Bi (0.500, 0.500, 0.000)
Mo (0.040, 0.625, 0.915)
Mo (0.375, 0.290, 0.415)
Mo (0.710, 0.125, 0.085)
Mo (0.875, 0.960, 0.585)


10.
DFT (PBE) results for a relaxed structure of TaV5W4.

crystal system = tetragonal
final energy = -10.9824 eV/atom
space group = P4/mmm, No. 123

Cell lengths 3.095, 3.095, 15.583 Å; angles 90.00, 90.00, 90.00 degrees
Positions (direct):
Ta (0.000, 0.000, 0.000)
V (0.500, 0.500, 0.107)
V (0.500, 0.500, 0.303)
V (0.500, 0.500, 0.500)
V (0.500, 0.500, 0.697)
V (0.500, 0.500, 0.893)
W (0.000, 0.000, 0.202)
W (0.000, 0.000, 0.401)
W (0.000, 0.000, 0.599)
W (0.000, 0.000, 0.798)


11.
DFT (PBE) results for a relaxed structure of Nd6P2S3N.

crystal system = monoclinic
raw formation energy = -1.765 eV per atom
space group = C2/m, No. 12

Cell lengths 9.088, 9.088, 8.156 Å; angles 103.82, 103.82, 25.52 degrees
Positions (direct):
Nd (0.000, 0.000, 0.219)
Nd (0.000, 0.000, 0.781)
Nd (0.333, 0.333, 0.419)
Nd (0.349, 0.349, 0.922)
Nd (0.651, 0.651, 0.078)
Nd (0.667, 0.667, 0.581)
P (0.165, 0.165, 0.331)
P (0.835, 0.835, 0.669)
S (0.169, 0.169, 0.836)
S (0.500, 0.500, 0.500)
S (0.831, 0.831, 0.164)
N (0.500, 0.500, 0.000)


Ρ, record by record: 10.42, 8.61, 4.38, 7.80, 13.04, 3.32, 3.89, 3.85, 9.37, 13.03, 6.12 g/cm³
V, record by record: 48.3, 446.5, 179.8, 202.1, 151.8, 276.4, 101.0, 96.7, 167.9, 149.2, 281.4 Å³ per cell